GGA+U Nb3CrO, relaxed; total magnetization = 0.5 μB per formula unit; polymorph energy (0 for the lowest one) = 209.69 kJ/mol of atoms; crystal system = cubic
1.0
4.5973 0.0000 0.0000
0.0000 4.5973 0.0000
0.0000 0.0000 4.5973
Nb Cr O
3 1 1
direct
0.0000 0.0000 0.5000
0.0000 0.5000 0.0000
0.5000 0.0000 0.0000
0.0000 0.0000 0.0000
0.5000 0.5000 0.5000